## SiTeCl4 (PBE)

Data for a relaxed structure of SiTeCl4.

## Properties
formation energy (no corrections): 466.0 kJ/mol of formula units
M_tot: 0.09 μB/atom
density: 3.5 g/cm3

CIF file:
```
data_SiTeCl4
_cell_length_a 5.838
_cell_length_b 5.838
_cell_length_c 5.838
_cell_angle_alpha 60.00
_cell_angle_beta 60.00
_cell_angle_gamma 60.00
_symmetry_space_group_name_H-M 'P 1'
_symmetry_Int_Tables_number 1
loop_
_symmetry_equiv_pos_as_xyz
'x,y,z'
loop_
_atom_site_label
_atom_site_fract_x
_atom_site_fract_y
_atom_site_fract_z
Si1 0.750 0.750 0.750
Cl1 0.375 0.375 0.375
Cl2 0.375 0.875 0.375
Cl3 0.375 0.375 0.875
Cl4 0.875 0.375 0.375
Te1 0.000 0.000 0.000
```

=====

## TeSeBr2 (PBE)

Data for a relaxed structure of TeSeBr2.

## Properties
formation energy (no corrections): -44.3 kJ/mol of formula units
M_tot: 0.00 μB/atom
offset from the most stable computed form: 0.21 eV/f.u.
density: 3.6 g/cm3

CIF file:
```
data_TeSeBr2
_cell_length_a 4.073
_cell_length_b 7.084
_cell_length_c 7.526
_cell_angle_alpha 57.70
_cell_angle_beta 67.94
_cell_angle_gamma 79.84
_symmetry_space_group_name_H-M 'P 1'
_symmetry_Int_Tables_number 1
loop_
_symmetry_equiv_pos_as_xyz
'x,y,z'
loop_
_atom_site_label
_atom_site_fract_x
_atom_site_fract_y
_atom_site_fract_z
Br1 0.421 0.544 0.641
Br2 0.105 0.862 0.955
Se1 0.365 0.187 0.311
Te1 0.609 0.907 0.593
```

=====

## ScAuN2 (PBE)

Data for a relaxed structure of ScAuN2.

## Properties
formation energy (no corrections): 200.4 kJ/mol of formula units
M_tot: 0.00 μB/atom
offset from the most stable computed form: 2.34 eV/f.u.
density: 9.6 g/cm3

CIF file:
```
data_ScAuN2
_cell_length_a 4.046
_cell_length_b 4.046
_cell_length_c 4.046
_cell_angle_alpha 60.00
_cell_angle_beta 60.00
_cell_angle_gamma 60.00
_symmetry_space_group_name_H-M 'P 1'
_symmetry_Int_Tables_number 1
loop_
_symmetry_equiv_pos_as_xyz
'x,y,z'
loop_
_atom_site_label
_atom_site_fract_x
_atom_site_fract_y
_atom_site_fract_z
Au1 0.500 0.500 0.500
N1 0.750 0.750 0.750
N2 0.250 0.250 0.250
Sc1 0.000 0.000 0.000
```